Version A
DFT (PBE) results for a geometry-optimized Be2InPb structure.

a = 6.760 Å, b = 6.760 Å, c = 6.760 Å
α = 90.00°, β = 90.00°, γ = 90.00°
Space group Fm-3m (No. 225)
Unique sites:
Be 0.250 0.250 0.250
In 0.000 0.000 0.000
Pb 0.000 0.000 0.500

The total magnetic moment is 0.000 μB/cell.

=====

Version B
DFT (PBE) results for a geometry-optimized Be2InPb structure.

a = 4.042 Å, b = 4.050 Å, c = 4.929 Å
α = 90.00°, β = 112.99°, γ = 90.00°
Space group Pm (No. 6)
Unique sites:
Be 0.000 0.000 0.000
Be 0.094 0.500 0.214
In 0.699 0.000 0.393
Pb 0.399 0.500 0.812

The total magnetic moment is 0.000 μB/cell.

=====

Most stable to least stable, the ends of the list are version B and version A.